DFT (PBE with a Hubbard U) results for a relaxed structure of NpCoTeO6.

Output
The value obtained for the total energy is -131.32 eV per cell.

extended XYZ file:
```
18
Lattice="5.592 0.000 0.000 -2.796 4.843 0.000 0.000 0.000 8.889" Properties=species:S:1:pos:R:3 pbc="T T T"
Np 0.000 3.229 2.222
Np 2.796 1.614 6.667
Co 0.000 0.000 0.000
Co 0.000 0.000 4.445
Te 0.000 3.229 6.667
Te 2.796 1.614 2.222
O -0.892 1.674 1.148
O -1.792 3.234 3.297
O 0.892 1.674 3.297
O -0.900 4.778 1.148
O 1.896 0.065 5.593
O 1.004 1.609 7.741
O 1.792 3.234 1.148
O 0.900 4.778 3.297
O 3.696 0.065 7.741
O 1.905 3.169 5.593
O 4.588 1.609 5.593
O 3.688 3.169 7.741
```

DFT (PBE with a Hubbard U) results for a relaxed structure of NpTl2CoO8.

Output
The value obtained for the total energy is -78.28 eV per cell.

extended XYZ file:
```
12
Lattice="5.045 0.000 0.000 0.000 6.586 0.000 -0.289 0.000 5.054" Properties=species:S:1:pos:R:3 pbc="T T T"
Np 0.000 0.000 0.000
Tl 2.378 1.720 2.527
Tl 2.378 4.866 2.527
Co 0.000 3.293 0.000
O 0.653 1.550 4.186
O 0.653 5.035 4.186
O 1.288 3.293 1.389
O 1.395 0.000 1.521
O 3.361 0.000 3.533
O 3.469 3.293 3.665
O 4.103 1.550 0.868
O 4.103 5.035 0.868
```

DFT (PBE with a Hubbard U) results for a relaxed structure of Np3Tl2CoO12.

Output
The value obtained for the total energy is -145.87 eV per cell.

extended XYZ file:
```
18
Lattice="3.908 2.256 5.733 -3.908 2.256 5.733 0.000 -4.512 5.733" Properties=species:S:1:pos:R:3 pbc="T T T"
Np -1.954 -1.128 5.733
Np -1.954 1.128 11.466
Np 0.000 2.256 5.733
Tl 0.000 0.000 2.315
Tl 0.000 0.000 14.884
Co 0.000 0.000 8.600
O 0.000 -1.736 5.167
O -1.504 0.868 5.167
O -1.368 -0.790 7.542
O -1.504 -0.868 12.032
O 0.000 -1.579 9.657
O -1.368 0.790 9.657
O 1.368 -0.790 7.542
O 0.000 1.579 7.542
O 1.504 0.868 5.167
O 1.368 0.790 9.657
O 1.504 -0.868 12.032
O 0.000 1.736 12.032
```